First-principles (PBE) data for crystalline LaPm2Dy2Ho at its relaxed geometry, as listed in Alexandria via LeMat-Bulk.

Structure (POSCAR):
```
LaPm2Dy2Ho
1.0
6.983 0.000 0.000
0.000 16.427 0.000
0.000 0.000 3.534
La Pm Dy Ho
2 4 4 2
Direct
0.000 0.000 0.000
0.500 0.500 0.500
0.246 0.340 0.000
0.254 0.840 0.500
0.746 0.160 0.500
0.754 0.660 0.000
0.249 0.155 0.500
0.251 0.655 0.000
0.749 0.345 0.000
0.751 0.845 0.500
0.000 0.500 0.500
0.500 0.000 0.000
```

Summary:
Fermi-level density of states = 17.88 states/eV per cell
Total DFT energy (no corrections) = -4.5514 eV/atom
Calculated formation energy = 0.150 eV per atom
Space-group type = Pnnm (58)